Record 1
A plane-wave DFT calculation with PBE was carried out for crystalline DyZrTc at its relaxed geometry.

Summary:
Theoretical density: 8.80 g cm⁻³
ΔH_f (0 K): 0.07 eV per formula unit
Fermi-level density of states: 4.1 states/eV/f.u.

CIF file:
```
data_DyZrTc
_chemical_formula_sum 'Dy6 Zr6 Tc6'
_cell_length_a 13.535
_cell_length_b 13.535
_cell_length_c 13.535
_cell_angle_alpha 25.28
_cell_angle_beta 25.28
_cell_angle_gamma 25.28
_symmetry_space_group_name_H-M 'P 1'
_symmetry_Int_Tables_number 1
loop_
_symmetry_equiv_pos_as_xyz
'x,y,z'
loop_
_atom_site_label
_atom_site_fract_x
_atom_site_fract_y
_atom_site_fract_z
Dy1 0.037 0.037 0.037
Dy2 0.182 0.182 0.182
Dy3 0.273 0.273 0.273
Dy4 0.727 0.727 0.727
Dy5 0.818 0.818 0.818
Dy6 0.963 0.963 0.963
Zr1 0.230 0.721 0.721
Zr2 0.279 0.279 0.770
Zr3 0.279 0.770 0.279
Zr4 0.721 0.230 0.721
Zr5 0.721 0.721 0.230
Zr6 0.770 0.279 0.279
Tc1 0.000 0.500 0.500
Tc2 0.382 0.382 0.382
Tc3 0.500 0.000 0.500
Tc4 0.500 0.500 0.000
Tc5 0.500 0.500 0.500
Tc6 0.618 0.618 0.618
```

Record 2
A plane-wave DFT calculation with PBE was carried out for crystalline SrAsS2Cl at its relaxed geometry.

Summary:
Theoretical density: 2.17 g cm⁻³
E_form (uncorrected): 0.5541 eV per atom
Fermi-level density of states: 7.9 states/eV/f.u.

CIF file:
```
data_SrAsS2Cl
_chemical_formula_sum 'Sr1 As1 S2 Cl1'
_cell_length_a 5.659
_cell_length_b 5.659
_cell_length_c 6.262
_cell_angle_alpha 90.00
_cell_angle_beta 90.00
_cell_angle_gamma 90.00
_symmetry_space_group_name_H-M 'P 1'
_symmetry_Int_Tables_number 1
loop_
_symmetry_equiv_pos_as_xyz
'x,y,z'
loop_
_atom_site_label
_atom_site_fract_x
_atom_site_fract_y
_atom_site_fract_z
Sr1 0.000 0.000 0.000
As1 0.000 0.000 0.500
S1 0.000 0.500 0.000
S2 0.500 0.000 0.000
Cl1 0.500 0.500 0.500
```

Record 3
A plane-wave DFT calculation with PBE was carried out for crystalline MgNb2Cr at its relaxed geometry.

Summary:
Theoretical density: 5.76 g cm⁻³
ΔH_f (0 K): 3.14 eV per formula unit
Fermi-level density of states: 3.5 states/eV/f.u.

CIF file:
```
data_MgNb2Cr
_chemical_formula_sum 'Mg2 Nb4 Cr2'
_cell_length_a 10.298
_cell_length_b 10.298
_cell_length_c 10.298
_cell_angle_alpha 158.16
_cell_angle_beta 158.16
_cell_angle_gamma 31.08
_symmetry_space_group_name_H-M 'P 1'
_symmetry_Int_Tables_number 1
loop_
_symmetry_equiv_pos_as_xyz
'x,y,z'
loop_
_atom_site_label
_atom_site_fract_x
_atom_site_fract_y
_atom_site_fract_z
Mg1 0.000 0.000 0.000
Mg2 0.750 0.250 0.500
Nb1 0.136 0.625 0.011
Nb2 0.375 0.386 0.511
Nb3 0.614 0.125 0.989
Nb4 0.875 0.864 0.489
Cr1 0.250 0.750 0.500
Cr2 0.500 0.500 0.000
```

Record 4
A plane-wave DFT calculation with PBE was carried out for crystalline AsBrCl2 at its relaxed geometry.

Summary:
Theoretical density: 3.06 g cm⁻³
E_form (uncorrected): -0.1833 eV per atom
Fermi-level density of states: 1.1 states/eV/f.u.

CIF file:
```
data_AsBrCl2
_chemical_formula_sum 'As1 Br1 Cl2'
_cell_length_a 7.287
_cell_length_b 7.287
_cell_length_c 7.287
_cell_angle_alpha 153.10
_cell_angle_beta 135.37
_cell_angle_gamma 52.88
_symmetry_space_group_name_H-M 'P 1'
_symmetry_Int_Tables_number 1
loop_
_symmetry_equiv_pos_as_xyz
'x,y,z'
loop_
_atom_site_label
_atom_site_fract_x
_atom_site_fract_y
_atom_site_fract_z
As1 0.000 0.000 0.000
Br1 0.500 0.500 0.000
Cl1 0.143 0.643 0.500
Cl2 0.857 0.357 0.500
```